The following is a DFT calculation (GGA-PBE) of NiAsAu after structural relaxation.

Values from the calculation:
Its relative energy among the computed polymorphs is 0.0828 eV per atom. As for the density of states at the Fermi level: 3.13 states/eV/cell. The calculation puts the formation energy at -0.001 eV per atom. As for the density: 11.33 g/cm3.

a b c (Å): 2.896 2.896 11.547
angles (deg): 90.00 90.00 90.00
Space group I4mm (No. 107)
Symmetry-distinct sites (fractional):
Ni  0.000  0.000  0.000 [2 per cell]
As  0.000  0.000  0.383 [2 per cell]
Au  0.000  0.000  0.663 [2 per cell]